i:
Compound: Hg2OsPt
Source: Alexandria
Functional: PBE
Structure: optimized geometry

The calculation puts the total moment at 0.000 μB per atom.

The structure belongs to space group Cm (No. 8); the cell edges are 10.8656, 2.8513 and 5.1276 Å and the angles 90.00°, 113.89° and 90.00°. The asymmetric unit holds Hg at (0.0000, 0.0000, 0.0000), Hg at (0.2147, 0.0000, 0.5971), Os at (0.2504, 0.5000, 0.1056) and Pt at (0.4530, 0.0000, 0.4717).



ii:
Compound: Hg2OsPt
Source: Alexandria
Functional: PBE
Structure: optimized geometry

The calculation puts the total moment at 0.279 μB per atom.

The structure belongs to space group I-4m2 (No. 119); the cell edges are 4.2211, 4.2211 and 8.0327 Å and the angles 90.00°, 90.00° and 90.00°. The asymmetric unit holds Hg at (0.0000, 0.0000, 0.0000), Hg at (0.0000, 0.5000, 0.2500), Os at (0.0000, 0.5000, 0.7500) and Pt at (0.0000, 0.0000, 0.5000).



Consider the structures shown above. The most stable of them is i.